TiOsRuS after structural relaxation. Source: Alexandria, functional GGA-PBE.

a = 3.762 Å, b = 5.393 Å, c = 5.393 Å
α = 31.13°, β = 90.00°, γ = 90.00°
Element x y z (fractional)
Ti (0.000, 0.000, 0.000)
Os (0.000, 0.733, 0.733)
Ru (0.500, 0.359, 0.359)
S (0.500, 0.589, 0.589)

Computed properties:
SG = No. 38
Spin magnetization = 0.000 Bohr magnetons per cell
Energy relative to the lowest polymorph listed for this composition = 66 meV/atom
E_form (uncorrected) = -0.27 eV/atom



Nd15Y4Mg after structural relaxation. Source: Alexandria, functional GGA-PBE.

a = 5.138 Å, b = 5.138 Å, c = 25.799 Å
α = 90.00°, β = 90.00°, γ = 90.00°
Element x y z (fractional)
Nd (0.000, 0.000, 0.000)
Nd (0.000, 0.000, 0.197)
Nd (0.000, 0.000, 0.399)
Nd (0.000, 0.000, 0.601)
Nd (0.000, 0.000, 0.803)
Nd (0.000, 0.500, 0.098)
Nd (0.000, 0.500, 0.299)
Nd (0.000, 0.500, 0.500)
Nd (0.000, 0.500, 0.701)
Nd (0.000, 0.500, 0.902)
Nd (0.500, 0.000, 0.098)
Nd (0.500, 0.000, 0.299)
Nd (0.500, 0.000, 0.500)
Nd (0.500, 0.000, 0.701)
Nd (0.500, 0.000, 0.902)
Y (0.500, 0.500, 0.198)
Y (0.500, 0.500, 0.399)
Y (0.500, 0.500, 0.601)
Y (0.500, 0.500, 0.802)
Mg (0.500, 0.500, 0.000)

Computed properties:
SG = No. 123
Spin magnetization = 0.000 Bohr magnetons per cell
Energy relative to the elements = 7.6 meV per atom



BeRh3C after structural relaxation. Source: Alexandria, functional GGA-PBE.

a = 3.989 Å, b = 3.989 Å, c = 3.989 Å
α = 90.00°, β = 90.00°, γ = 90.00°
Element x y z (fractional)
Be (0.000, 0.000, 0.000)
Rh (0.000, 0.500, 0.500)
Rh (0.500, 0.000, 0.500)
Rh (0.500, 0.500, 0.000)
C (0.500, 0.500, 0.500)

Computed properties:
SG = No. 221
Spin magnetization = 0.000 Bohr magnetons per cell
Energy relative to the elements = 76.9 meV per atom
Energy relative to the lowest polymorph listed for this composition = 0 meV/atom



BeCuNi2H after structural relaxation. Source: Alexandria, functional GGA-PBE.

a = 3.546 Å, b = 3.546 Å, c = 3.507 Å
α = 90.00°, β = 90.00°, γ = 90.00°
Element x y z (fractional)
Be (0.000, 0.000, 0.000)
Cu (0.500, 0.500, 0.000)
Ni (0.000, 0.500, 0.500)
Ni (0.500, 0.000, 0.500)
H (0.500, 0.500, 0.500)

Computed properties:
SG = No. 123
Spin magnetization = 0.000 Bohr magnetons per cell
Energy relative to the lowest polymorph listed for this composition = 0 meV/atom



AlCd2Au2 after structural relaxation. Source: Alexandria, functional GGA-PBE.

a = 6.963 Å, b = 6.963 Å, c = 4.177 Å
α = 90.00°, β = 90.00°, γ = 90.00°
Element x y z (fractional)
Al (0.000, 0.000, 0.000)
Al (0.500, 0.500, 0.000)
Cd (0.154, 0.346, 0.500)
Cd (0.346, 0.846, 0.500)
Cd (0.654, 0.154, 0.500)
Cd (0.846, 0.654, 0.500)
Au (0.153, 0.653, 0.000)
Au (0.347, 0.153, 0.000)
Au (0.653, 0.847, 0.000)
Au (0.847, 0.347, 0.000)

Computed properties:
SG = No. 127
Spin magnetization = 0.000 Bohr magnetons per cell
Energy relative to the elements = -146.9 meV per atom
Energy relative to the lowest polymorph listed for this composition = 29 meV/atom



Os2PbCN after structural relaxation. Source: Alexandria, functional GGA-PBE.

a = 3.896 Å, b = 3.896 Å, c = 5.761 Å
α = 90.00°, β = 90.00°, γ = 90.00°
Element x y z (fractional)
Os (0.000, 0.500, 0.000)
Os (0.500, 0.000, 0.000)
Pb (0.000, 0.000, 0.500)
C (0.500, 0.500, 0.000)
N (0.500, 0.500, 0.500)

Computed properties:
SG = No. 123
Spin magnetization = 2.742 Bohr magnetons per cell
E_form (uncorrected) = 1.65 eV/atom



Nd3Al4 after structural relaxation. Source: Alexandria, functional GGA-PBE.

a = 10.575 Å, b = 10.575 Å, c = 10.575 Å
α = 159.42°, β = 154.99°, γ = 32.60°
Element x y z (fractional)
Nd (0.000, 0.000, 0.000)
Nd (0.307, 0.807, 0.500)
Nd (0.693, 0.193, 0.500)
Al (0.136, 0.636, 0.500)
Al (0.435, 0.435, 0.000)
Al (0.565, 0.565, 0.000)
Al (0.864, 0.364, 0.500)

Computed properties:
SG = No. 71
Spin magnetization = 0.578 Bohr magnetons per cell
Energy relative to the elements = -401.2 meV per atom
Energy relative to the lowest polymorph listed for this composition = 0 meV/atom



YCu2Te after structural relaxation. Source: Alexandria, functional GGA-PBE.

a = 6.163 Å, b = 6.163 Å, c = 6.163 Å
α = 103.10°, β = 103.10°, γ = 123.14°
Element x y z (fractional)
Y (0.000, 0.000, 0.000)
Y (0.750, 0.250, 0.500)
Cu (0.158, 0.125, 0.533)
Cu (0.375, 0.842, 0.967)
Cu (0.592, 0.625, 0.467)
Cu (0.875, 0.408, 0.033)
Te (0.250, 0.750, 0.500)
Te (0.500, 0.500, 0.000)

Computed properties:
SG = No. 122
Spin magnetization = 0.000 Bohr magnetons per cell
E_form (uncorrected) = -0.14 eV/atom